(1)
First-principles (PBE-GGA) data for crystalline RbNa3Tl at its relaxed geometry, as listed in Alexandria via LeMat-Bulk.

Output
polymorph energy (0 for the lowest one)	0	meV per atom
E_form	-0.041	eV/atom

a = 5.2177 Å, b = 9.4459 Å, c = 9.4459 Å
α = 113.98°, β = 90.00°, γ = 90.00°
Fractional positions:
Rb 0.5000 0.7163 0.2837
Rb 0.5000 0.2837 0.7163
Na 0.5000 0.0000 0.0000
Na 0.0000 0.0853 0.3127
Na 0.0000 0.9147 0.6873
Na 0.0000 0.6873 0.9147
Na 0.0000 0.5000 0.5000
Na 0.0000 0.3127 0.0853
Tl 0.5000 0.3185 0.3185
Tl 0.5000 0.6815 0.6815

=====

(2)
First-principles (PBE-GGA) data for crystalline Rb3Na2Tl8 at its relaxed geometry, as listed in Alexandria via LeMat-Bulk.

Output
E_form	0.028	eV/atom

a = 6.6885 Å, b = 6.6885 Å, c = 14.4177 Å
α = 76.58°, β = 76.58°, γ = 60.00°
Fractional positions:
Rb 0.0000 0.0000 0.0000
Rb 0.2395 0.2395 0.2816
Rb 0.7605 0.7605 0.7184
Na 0.4031 0.4031 0.7907
Na 0.5969 0.5969 0.2093
Tl 0.3278 0.3278 0.0165
Tl 0.6722 0.6722 0.9835
Tl 0.2978 0.8133 0.5910
Tl 0.8133 0.2978 0.5910
Tl 0.2979 0.2979 0.5910
Tl 0.1867 0.7022 0.4090
Tl 0.7022 0.1867 0.4090
Tl 0.7021 0.7021 0.4090

=====

no.,volume (Å³/cell)
1,425
2,538